[1]
## Ba2Ga5Pt (PBE-GGA)

Data for Ba2Ga5Pt after structural relaxation.

Calculated values
The value obtained for the offset from the most stable computed form is 107 meV/atom. As for the total magnetization: 0.00 μB per cell. For the formation energy, the calculation gives -0.42 eV per atom.

abc: 6.9346 6.9346 6.9346
angles: 79.56 126.20 126.20
Last column: nearest neighbours and their distance in Å.
Positions (direct):
Ga1 0.5606 0.2621 0.2621  1 Pt 2.58, 3 Ga 2.76-2.80
Ga2 0.0000 0.2621 0.7014  1 Pt 2.58, 3 Ga 2.76-2.80
Ga3 0.0000 0.2927 0.2927  1 Pt 2.62, 4 Ga 2.80
Ga4 0.0000 0.7014 0.2621  1 Pt 2.58, 3 Ga 2.76-2.80
Ga5 0.4394 0.7014 0.7014  1 Pt 2.58, 3 Ga 2.76-2.80
Pt1 0.0000 0.0473 0.0473  5 Ga 2.58-2.62
Ba1 0.5000 0.2276 0.7276  10 Ga 3.21-3.51
Ba2 0.5000 0.7276 0.2276  10 Ga 3.21-3.51

[2]
## Si4P2Se (PBE-GGA)

Data for Si4P2Se after structural relaxation.

Calculated values
As for the total magnetization: 0.00 μB per cell. For the formation energy from raw total energies, the calculation gives 670 meV/atom.

abc: 4.5171 4.5171 8.1156
angles: 73.84 73.84 90.00
Last column: nearest neighbours and their distance in Å.
Positions (direct):
P1 0.5920 0.5920 0.8160  1 Si 2.26
P2 0.4080 0.4080 0.1840  1 Si 2.26
Si1 0.5000 0.0000 0.0000  2 Se 2.26
Si2 0.0000 0.5000 0.0000  2 Se 2.26
Si3 0.7436 0.7436 0.5127  1 P 2.26
Si4 0.2564 0.2564 0.4873  1 P 2.26
Se1 0.0000 0.0000 0.0000  4 Si 2.26

[3]
## Pd2Pt9Rh (PBE-GGA)

Data for Pd2Pt9Rh after structural relaxation.

Calculated values
As for the total magnetization: 0.09 μB per cell. For the formation energy, the calculation gives -0.03 eV per atom.

abc: 3.9581 3.9581 11.8547
angles: 90.00 90.00 90.00
Last column: nearest neighbours and their distance in Å.
Positions (direct):
Pt1 0.5000 0.0000 0.5000  8 Pt 2.80, 4 Pd 2.82
Pt2 0.0000 0.5000 0.1643  2 Rh 2.78, 8 Pt 2.78-2.82, 2 Pd 2.79
Pt3 0.5000 0.0000 0.8357  2 Rh 2.78, 8 Pt 2.78-2.82, 2 Pd 2.79
Pt4 0.0000 0.5000 0.8357  2 Rh 2.78, 8 Pt 2.78-2.82, 2 Pd 2.79
Pt5 0.5000 0.5000 0.3335  8 Pt 2.80-2.82, 4 Pd 2.80
Pt6 0.0000 0.5000 0.5000  8 Pt 2.80, 4 Pd 2.82
Pt7 0.5000 0.0000 0.1643  2 Rh 2.78, 8 Pt 2.78-2.82, 2 Pd 2.79
Pt8 0.5000 0.5000 0.6665  8 Pt 2.80-2.82, 4 Pd 2.80
Pt9 0.5000 0.5000 0.0000  8 Pt 2.78, 4 Rh 2.80
Pd1 0.0000 0.0000 0.3306  12 Pt 2.79-2.82
Pd2 0.0000 0.0000 0.6694  12 Pt 2.79-2.82
Rh1 0.0000 0.0000 0.0000  12 Pt 2.78-2.80